[1]
DFT (PBE) results for crystalline PmErAs2 at its relaxed geometry.

The structure in CIF format:
```
data_PmErAs2
_chemical_formula_sum 'Pm4 Er4 As8'
_space_group_name_H-M_alt 'F m -3 m'
_space_group_IT_number 225
_space_group_name_Hall '-F 4 2 3'
_cell_length_a 7.2118
_cell_length_b 7.2118
_cell_length_c 7.2118
_cell_angle_alpha 90.00
_cell_angle_beta 90.00
_cell_angle_gamma 90.00
loop_
_atom_site_label
_atom_site_type_symbol
_atom_site_fract_x
_atom_site_fract_y
_atom_site_fract_z
Pm1 Pm 0.0000 0.0000 0.0000
Er1 Er 0.0000 0.0000 0.5000
As1 As 0.2500 0.2500 0.2500
```

Output
- offset from the most stable computed form (kJ/mol of atoms) = 46.0
- calculated volume (Å³/f.u.) = 94
- energy (Ry/atom) = -0.418
- energy relative to the elements (eV/atom) = -1.041

---

[2]
DFT (PBE) results for crystalline Nd3TmTe at its relaxed geometry.

The structure in CIF format:
```
data_Nd3TmTe
_chemical_formula_sum 'Nd6 Tm2 Te2'
_space_group_name_H-M_alt 'P 1 21/m 1'
_space_group_IT_number 11
_space_group_name_Hall '-P 2yb'
_cell_length_a 6.5153
_cell_length_b 5.8340
_cell_length_c 8.9869
_cell_angle_alpha 90.00
_cell_angle_beta 106.02
_cell_angle_gamma 90.00
loop_
_atom_site_label
_atom_site_type_symbol
_atom_site_fract_x
_atom_site_fract_y
_atom_site_fract_z
Nd1 Nd 0.1843 0.2500 0.4907
Nd2 Nd 0.2660 0.7500 0.2463
Nd3 Nd 0.2997 0.2500 0.9307
Tm1 Tm 0.3841 0.7500 0.6817
Te1 Te 0.0498 0.7500 0.8709
```

Output
- formation energy without anion corrections (eV per formula unit) = -2.1
- calculated volume (Å³/f.u.) = 164
- energy (Ry/atom) = -0.353

---

[3]
DFT (PBE) results for crystalline TmPuMg2Tl4 at its relaxed geometry.

The structure in CIF format:
```
data_TmPuMg2Tl4
_chemical_formula_sum 'Tm3 Pu3 Mg6 Tl12'
_space_group_name_H-M_alt 'R -3 m'
_space_group_IT_number 166
_space_group_name_Hall '-R 3 2"'
_cell_length_a 5.2519
_cell_length_b 5.2519
_cell_length_c 25.8657
_cell_angle_alpha 90.00
_cell_angle_beta 90.00
_cell_angle_gamma 120.00
loop_
_atom_site_label
_atom_site_type_symbol
_atom_site_fract_x
_atom_site_fract_y
_atom_site_fract_z
Tm1 Tm 0.0000 0.0000 0.0000
Pu1 Pu 0.0000 0.0000 0.5000
Mg1 Mg 0.0000 0.0000 0.2497
Tl1 Tl 0.0000 0.0000 0.1232
Tl2 Tl 0.0000 0.0000 0.3738
```

Output
- calculated volume (Å³/f.u.) = 206
- energy (Ry/atom) = -0.298
- energy relative to the elements (eV/atom) = -0.127

---

[4]
DFT (PBE) results for crystalline Nd2Tm8Al at its relaxed geometry.

The structure in CIF format:
```
data_Nd2Tm8Al
_chemical_formula_sum 'Nd4 Tm16 Al2'
_space_group_name_H-M_alt 'C 1 2/m 1'
_space_group_IT_number 12
_space_group_name_Hall '-C 2y'
_cell_length_a 19.1115
_cell_length_b 5.4256
_cell_length_c 6.3684
_cell_angle_alpha 90.00
_cell_angle_beta 94.37
_cell_angle_gamma 90.00
loop_
_atom_site_label
_atom_site_type_symbol
_atom_site_fract_x
_atom_site_fract_y
_atom_site_fract_z
Nd1 Nd 0.2430 0.0000 0.3307
Tm1 Tm 0.0423 0.0000 0.2562
Tm2 Tm 0.0769 0.5000 0.6036
Tm3 Tm 0.1516 0.0000 0.8143
Tm4 Tm 0.1560 0.5000 0.1230
Al1 Al 0.0000 0.5000 0.0000
```

Output
- calculated volume (Å³/f.u.) = 329
- energy (Ry/atom) = -0.330
- energy relative to the elements (eV/atom) = -0.033

---

[5]
DFT (PBE) results for crystalline CsTl4In at its relaxed geometry.

The structure in CIF format:
```
data_CsTl4In
_chemical_formula_sum 'Cs4 Tl16 In4'
_space_group_name_H-M_alt 'F -4 3 m'
_space_group_IT_number 216
_space_group_name_Hall 'F -4 2 3'
_cell_length_a 9.5194
_cell_length_b 9.5194
_cell_length_c 9.5194
_cell_angle_alpha 90.00
_cell_angle_beta 90.00
_cell_angle_gamma 90.00
loop_
_atom_site_label
_atom_site_type_symbol
_atom_site_fract_x
_atom_site_fract_y
_atom_site_fract_z
Cs1 Cs 0.0000 0.0000 0.0000
Tl1 Tl 0.1240 0.1240 0.3760
In1 In 0.2500 0.2500 0.7500
```

Output
- offset from the most stable computed form (kJ/mol of atoms) = 9.2
- calculated volume (Å³/f.u.) = 216
- energy (Ry/atom) = -0.158
- energy relative to the elements (eV/atom) = 0.031

---

[6]
DFT (PBE) results for crystalline In2ReGeH at its relaxed geometry.

The structure in CIF format:
```
data_In2ReGeH
_chemical_formula_sum 'In2 Re1 Ge1 H1'
_space_group_name_H-M_alt 'P 4/m m m'
_space_group_IT_number 123
_space_group_name_Hall '-P 4 2'
_cell_length_a 5.2650
_cell_length_b 5.2650
_cell_length_c 4.7841
_cell_angle_alpha 90.00
_cell_angle_beta 90.00
_cell_angle_gamma 90.00
loop_
_atom_site_label
_atom_site_type_symbol
_atom_site_fract_x
_atom_site_fract_y
_atom_site_fract_z
In1 In 0.0000 0.5000 0.0000
Re1 Re 0.0000 0.0000 0.0000
Ge1 Ge 0.0000 0.0000 0.5000
H1 H 0.5000 0.5000 0.5000
```

Output
- calculated volume (Å³/f.u.) = 133
- energy (Ry/atom) = -0.330